(1)
Here is crystalline CaTmPdPb at its relaxed geometry from the Alexandria database. Energies are from GGA-PBE.

Calculated values
The value obtained for the volume is 394.54 Å³ per cell. The space-group type is F-43m (216). As for the crystal system: cubic. The value obtained for the energy of formation from the pure elements is -0.581 eV per atom.

a = 7.3344 Å, b = 7.3344 Å, c = 7.3344 Å
α = 90.00°, β = 90.00°, γ = 90.00°
Fractional coordinates of all 16 atoms:
1 Ca 0.0000 0.0000 0.0000
2 Ca 0.0000 0.5000 0.5000
3 Ca 0.5000 0.0000 0.5000
4 Ca 0.5000 0.5000 0.0000
5 Tm 0.0000 0.0000 0.5000
6 Tm 0.0000 0.5000 0.0000
7 Tm 0.5000 0.0000 0.0000
8 Tm 0.5000 0.5000 0.5000
9 Pd 0.2500 0.2500 0.7500
10 Pd 0.2500 0.7500 0.2500
11 Pd 0.7500 0.2500 0.2500
12 Pd 0.7500 0.7500 0.7500
13 Pb 0.2500 0.2500 0.2500
14 Pb 0.2500 0.7500 0.7500
15 Pb 0.7500 0.2500 0.7500
16 Pb 0.7500 0.7500 0.2500



(2)
Here is crystalline LiPr2Pd at its relaxed geometry from the Alexandria database. Energies are from GGA-PBE.

Calculated values
The value obtained for the volume is 363.41 Å³ per cell. The space-group type is R-3m (166). As for the crystal system: trigonal. The value obtained for the energy of formation from the pure elements is -0.192 eV per atom.

a = 3.9276 Å, b = 3.9276 Å, c = 27.2025 Å
α = 90.00°, β = 90.00°, γ = 120.00°
Fractional coordinates of all 12 atoms:
1 Li 0.0000 0.0000 0.0000
2 Li 0.3333 0.6667 0.6667
3 Li 0.6667 0.3333 0.3333
4 Pr 0.0000 0.0000 0.2347
5 Pr 0.0000 0.0000 0.7653
6 Pr 0.3333 0.6667 0.4320
7 Pr 0.3333 0.6667 0.9013
8 Pr 0.6667 0.3333 0.0987
9 Pr 0.6667 0.3333 0.5680
10 Pd 0.0000 0.0000 0.5000
11 Pd 0.3333 0.6667 0.1667
12 Pd 0.6667 0.3333 0.8333



(3)
Here is crystalline CuHgH2 at its relaxed geometry from the Alexandria database. Energies are from GGA-PBE.

Calculated values
The value obtained for the volume is 173.53 Å³ per cell. The space-group type is Fm-3m (225). As for the energy relative to the lowest polymorph listed for this composition: 445 meV/atom. As for the crystal system: cubic.

a = 5.5778 Å, b = 5.5778 Å, c = 5.5778 Å
α = 90.00°, β = 90.00°, γ = 90.00°
Fractional coordinates of all 16 atoms:
1 Cu 0.0000 0.0000 0.0000
2 Cu 0.0000 0.5000 0.5000
3 Cu 0.5000 0.0000 0.5000
4 Cu 0.5000 0.5000 0.0000
5 Hg 0.0000 0.0000 0.5000
6 Hg 0.0000 0.5000 0.0000
7 Hg 0.5000 0.0000 0.0000
8 Hg 0.5000 0.5000 0.5000
9 H 0.2500 0.2500 0.2500
10 H 0.2500 0.2500 0.7500
11 H 0.2500 0.7500 0.2500
12 H 0.2500 0.7500 0.7500
13 H 0.7500 0.2500 0.2500
14 H 0.7500 0.2500 0.7500
15 H 0.7500 0.7500 0.2500
16 H 0.7500 0.7500 0.7500



(4)
Here is crystalline VTcNi4 at its relaxed geometry from the Alexandria database. Energies are from GGA-PBE.

Calculated values
The value obtained for the volume is 142.42 Å³ per cell. The space-group type is P-1 (2). As for the energy relative to the lowest polymorph listed for this composition: 31 meV/atom. As for the crystal system: triclinic. The value obtained for the energy of formation from the pure elements is -0.079 eV per atom.

a = 4.4278 Å, b = 5.1574 Å, c = 6.7321 Å
α = 100.77°, β = 96.59°, γ = 106.58°
Fractional coordinates of all 12 atoms:
1 V 0.2331 0.2709 0.4225
2 V 0.7669 0.7291 0.5775
3 Tc 0.2463 0.4522 0.0752
4 Tc 0.7537 0.5478 0.9248
5 Ni 0.2454 0.1090 0.7464
6 Ni 0.2490 0.9636 0.0896
7 Ni 0.2496 0.6172 0.7331
8 Ni 0.2558 0.7856 0.4127
9 Ni 0.7442 0.2144 0.5873
10 Ni 0.7504 0.3828 0.2669
11 Ni 0.7510 0.0364 0.9104
12 Ni 0.7546 0.8910 0.2536



Copy entry 3 word for word.
Here is crystalline CuHgH2 at its relaxed geometry from the Alexandria database. Energies are from GGA-PBE.

Calculated values
The value obtained for the volume is 173.53 Å³ per cell. The space-group type is Fm-3m (225). As for the energy relative to the lowest polymorph listed for this composition: 445 meV/atom. As for the crystal system: cubic.

a = 5.5778 Å, b = 5.5778 Å, c = 5.5778 Å
α = 90.00°, β = 90.00°, γ = 90.00°
Fractional coordinates of all 16 atoms:
1 Cu 0.0000 0.0000 0.0000
2 Cu 0.0000 0.5000 0.5000
3 Cu 0.5000 0.0000 0.5000
4 Cu 0.5000 0.5000 0.0000
5 Hg 0.0000 0.0000 0.5000
6 Hg 0.0000 0.5000 0.0000
7 Hg 0.5000 0.0000 0.0000
8 Hg 0.5000 0.5000 0.5000
9 H 0.2500 0.2500 0.2500
10 H 0.2500 0.2500 0.7500
11 H 0.2500 0.7500 0.2500
12 H 0.2500 0.7500 0.7500
13 H 0.7500 0.2500 0.2500
14 H 0.7500 0.2500 0.7500
15 H 0.7500 0.7500 0.2500
16 H 0.7500 0.7500 0.7500